1.
# TlS2ICl, relaxed, DFT GGA-PBE
data_TlS2ICl
_symmetry_space_group_name_H-M 'P 1'
_symmetry_Int_Tables_number 1
_cell_length_a 5.177
_cell_length_b 5.177
_cell_length_c 5.597
_cell_angle_alpha 90.00
_cell_angle_beta 90.00
_cell_angle_gamma 90.00
loop_
_symmetry_equiv_pos_as_xyz
'x,y,z'
loop_
_atom_site_label
_atom_site_fract_x
_atom_site_fract_y
_atom_site_fract_z
Tl1 0.000 0.000 0.000
S1 0.000 0.500 0.500
S2 0.500 0.000 0.500
I1 0.500 0.500 0.500
Cl1 0.500 0.500 0.000
# **Uncorrected formation energy**: 0.20 eV per atom
# **Electronic total energy**: -2.601 eV/atom
# **Fermi-level density of states**: 2.6 states/eV/cell
# **Energy above the lowest structure with this stoichiometry**: 0.0 meV per atom
# **Space group**: No. 123

=====

2.
# Tl8SI3Cl3, relaxed, DFT GGA-PBE
data_Tl8SI3Cl3
_symmetry_space_group_name_H-M 'P 1'
_symmetry_Int_Tables_number 1
_cell_length_a 9.412
_cell_length_b 9.412
_cell_length_c 9.711
_cell_angle_alpha 119.07
_cell_angle_beta 119.07
_cell_angle_gamma 59.89
loop_
_symmetry_equiv_pos_as_xyz
'x,y,z'
loop_
_atom_site_label
_atom_site_fract_x
_atom_site_fract_y
_atom_site_fract_z
Tl1 0.224 0.224 0.707
Tl2 0.225 0.759 0.708
Tl3 0.241 0.775 0.292
Tl4 0.259 0.259 0.278
Tl5 0.741 0.741 0.722
Tl6 0.759 0.225 0.708
Tl7 0.775 0.241 0.292
Tl8 0.776 0.776 0.293
S1 0.000 0.000 0.500
I1 0.000 0.000 0.000
I2 0.000 0.500 0.000
I3 0.500 0.000 0.000
Cl1 0.000 0.500 0.500
Cl2 0.500 0.000 0.500
Cl3 0.500 0.500 0.500
# **Uncorrected formation energy**: -0.72 eV per atom
# **Electronic total energy**: -2.939 eV/atom
# **Fermi-level density of states**: 0.0 states/eV/cell
# **Space group**: No. 12